one) Computed, not measured: a relaxed Cs3Tl4Te4 crystal at the PBE level of DFT.

Cell and atoms, written as CIF:
```
data_Cs3Tl4Te4
_symmetry_space_group_name_H-M 'I m m m'
_symmetry_Int_Tables_number 71
_symmetry_space_group_name_Hall '-I 2 2'
_cell_length_a 5.0329
_cell_length_b 5.4983
_cell_length_c 36.6405
_cell_angle_alpha 90.00
_cell_angle_beta 90.00
_cell_angle_gamma 90.00
loop_
_atom_site_label
_atom_site_fract_x
_atom_site_fract_y
_atom_site_fract_z
Cs1 0.0000 0.0000 0.0000
Cs2 0.0000 0.5000 0.3481
Tl1 0.0000 0.0000 0.2497
Tl2 0.0000 0.5000 0.0971
Te1 0.0000 0.0000 0.4533
Te2 0.0000 0.5000 0.1896
```

Calculated values
density of states at the Fermi level: 1.58 states/eV/f.u.
M_tot: 0.00 μB per formula unit

***

two) Computed, not measured: a relaxed Cs3Tl4Te4 crystal at the PBE level of DFT.

Cell and atoms, written as CIF:
```
data_Cs3Tl4Te4
_symmetry_space_group_name_H-M 'I -4 3 m'
_symmetry_Int_Tables_number 217
_symmetry_space_group_name_Hall 'I -4 2 3'
_cell_length_a 10.0691
_cell_length_b 10.0691
_cell_length_c 10.0691
_cell_angle_alpha 90.00
_cell_angle_beta 90.00
_cell_angle_gamma 90.00
loop_
_atom_site_label
_atom_site_fract_x
_atom_site_fract_y
_atom_site_fract_z
Cs1 0.0000 0.0000 0.5000
Tl1 0.1329 0.1329 0.1329
Te1 0.1880 0.1880 0.8120
```

Calculated values
density of states at the Fermi level: 3.35 states/eV/f.u.
M_tot: 0.00 μB per formula unit

***

Stability check: which of them is most stable? two).

***

one) Computed, not measured: a relaxed Cs3TlTe2 crystal at the PBE level of DFT.

Cell and atoms, written as CIF:
```
data_Cs3TlTe2
_symmetry_space_group_name_H-M 'C 1 2/m 1'
_symmetry_Int_Tables_number 12
_cell_length_a 20.0796
_cell_length_b 6.4988
_cell_length_c 10.4448
_cell_angle_alpha 90.00
_cell_angle_beta 97.76
_cell_angle_gamma 90.00
loop_
_symmetry_equiv_pos_as_xyz
'x,y,z'
'-x,-y,-z'
'-x,y,-z'
'x,-y,z'
'x+1/2,y+1/2,z'
'-x+1/2,-y+1/2,-z'
'-x+1/2,y+1/2,-z'
'x+1/2,-y+1/2,z'
loop_
_atom_site_label
_atom_site_fract_x
_atom_site_fract_y
_atom_site_fract_z
Cs1 0.0565 0.0000 0.2024
Cs2 0.1772 0.5000 0.0466
Cs3 0.1878 0.0000 0.5606
Tl1 0.0601 0.5000 0.6815
Te1 0.1114 0.5000 0.3969
Te2 0.1276 0.0000 0.8734
```

Calculated values
density of states at the Fermi level: 0.00 states/eV/f.u.
M_tot: 0.00 μB per formula unit

***

two) Computed, not measured: a relaxed Cs3TlTe2 crystal at the PBE level of DFT.

Cell and atoms, written as CIF:
```
data_Cs3TlTe2
_symmetry_space_group_name_H-M 'P n m a'
_symmetry_Int_Tables_number 62
_cell_length_a 15.2557
_cell_length_b 6.0710
_cell_length_c 12.5557
_cell_angle_alpha 90.00
_cell_angle_beta 90.00
_cell_angle_gamma 90.00
loop_
_symmetry_equiv_pos_as_xyz
'x,y,z'
'-x,-y,-z'
'-x+1/2,-y,z+1/2'
'x+1/2,y,-z+1/2'
'x+1/2,-y+1/2,-z+1/2'
'-x+1/2,y+1/2,z+1/2'
'-x,y+1/2,-z'
'x,-y+1/2,z'
loop_
_atom_site_label
_atom_site_fract_x
_atom_site_fract_y
_atom_site_fract_z
Cs1 0.0423 0.2500 0.1208
Cs2 0.1557 0.7500 0.6055
Cs3 0.2396 0.2500 0.7999
Tl1 0.0914 0.2500 0.4294
Te1 0.0004 0.2500 0.6630
Te2 0.1941 0.7500 0.9906
```

Calculated values
M_tot: 0.00 μB per formula unit

***

Stability check: which of them is most stable? two).

***

one) Computed, not measured: a relaxed CsTl2Te2 crystal at the PBE level of DFT.

Cell and atoms, written as CIF:
```
data_CsTl2Te2
_symmetry_space_group_name_H-M 'I 4/m m m'
_symmetry_Int_Tables_number 139
_symmetry_space_group_name_Hall '-I 4 2'
_cell_length_a 6.0259
_cell_length_b 6.0259
_cell_length_c 11.1438
_cell_angle_alpha 90.00
_cell_angle_beta 90.00
_cell_angle_gamma 90.00
loop_
_atom_site_label
_atom_site_fract_x
_atom_site_fract_y
_atom_site_fract_z
Cs1 0.0000 0.0000 0.0000
Tl1 0.0000 0.0000 0.3548
Te1 0.0000 0.5000 0.2500
```

Calculated values
density of states at the Fermi level: 3.97 states/eV/f.u.
M_tot: 0.00 μB per formula unit

***

two) Computed, not measured: a relaxed CsTl2Te2 crystal at the PBE level of DFT.

Cell and atoms, written as CIF:
```
data_CsTl2Te2
_symmetry_space_group_name_H-M 'I 4/m m m'
_symmetry_Int_Tables_number 139
_symmetry_space_group_name_Hall '-I 4 2'
_cell_length_a 5.2540
_cell_length_b 5.2540
_cell_length_c 15.1822
_cell_angle_alpha 90.00
_cell_angle_beta 90.00
_cell_angle_gamma 90.00
loop_
_atom_site_label
_atom_site_fract_x
_atom_site_fract_y
_atom_site_fract_z
Cs1 0.0000 0.0000 0.0000
Tl1 0.0000 0.5000 0.2500
Te1 0.0000 0.0000 0.3893
```

Calculated values
density of states at the Fermi level: 2.88 states/eV/f.u.
M_tot: 0.00 μB per formula unit

***

Stability check: which of them is most stable? two).

***

one) Computed, not measured: a relaxed CsTm6Te8 crystal at the PBE level of DFT.

Cell and atoms, written as CIF:
```
data_CsTm6Te8
_symmetry_space_group_name_H-M 'R -3'
_symmetry_Int_Tables_number 148
_symmetry_space_group_name_Hall '-R 3'
_cell_length_a 11.8692
_cell_length_b 11.8692
_cell_length_c 14.4632
_cell_angle_alpha 90.00
_cell_angle_beta 90.00
_cell_angle_gamma 120.00
loop_
_atom_site_label
_atom_site_fract_x
_atom_site_fract_y
_atom_site_fract_z
Cs1 0.0000 0.0000 0.0000
Tm1 0.0092 0.1868 0.3922
Te1 0.0000 0.0000 0.2535
Te2 0.0182 0.3039 0.5827
```

Calculated values
density of states at the Fermi level: 7.48 states/eV/f.u.
M_tot: 0.01 μB per formula unit

***

two) Computed, not measured: a relaxed CsTm6Te8 crystal at the PBE level of DFT.

Cell and atoms, written as CIF:
```
data_CsTm6Te8
_symmetry_space_group_name_H-M 'P -3'
_symmetry_Int_Tables_number 147
_cell_length_a 11.5773
_cell_length_b 11.5773
_cell_length_c 4.4168
_cell_angle_alpha 90.00
_cell_angle_beta 90.00
_cell_angle_gamma 120.00
loop_
_symmetry_equiv_pos_as_xyz
'x,y,z'
'-x,-y,-z'
'-y,x-y,z'
'y,-x+y,-z'
'-x+y,-x,z'
'x-y,x,-z'
loop_
_atom_site_label
_atom_site_fract_x
_atom_site_fract_y
_atom_site_fract_z
Cs1 0.0000 0.0000 0.0000
Tm1 0.1381 0.4879 0.2488
Te1 0.0437 0.6918 0.2517
Te2 0.3333 0.6667 0.7495
```

Calculated values
density of states at the Fermi level: 11.54 states/eV/f.u.
M_tot: 0.00 μB per formula unit

***

Stability check: which of them is most stable? two).